Compound: PmThInOs
Source: Alexandria
Functional: PBE-GGA
Structure: relaxed

```
4
Lattice="5.214 0.000 0.000 2.607 4.516 0.000 2.607 1.505 4.258" Properties=species:S:1:pos:R:3 pbc="T T T"
Th 7.822 4.516 3.193
In 5.214 3.011 2.129
Pm 2.607 1.505 1.064
Os 0.000 0.000 0.000
```

**V**: 100.3 Å³ per cell
**DFT formation energy**: -0.071 eV per atom
**Electronic total energy**: -6.606 eV/atom
**Space group**: F-43m
**Theoretical density**: 11.297 g/cm3


Compound: BaCoAsBr2
Source: Alexandria
Functional: PBE-GGA
Structure: relaxed

```
5
Lattice="-2.045 0.682 -4.811 -1.213 -5.126 -0.210 -4.106 0.895 1.872" Properties=species:S:1:pos:R:3 pbc="T T T"
Ba -3.682 -1.775 -1.575
Co 0.000 0.000 0.000
Br -0.607 -2.563 -0.105
Br -1.022 0.341 -2.406
As -2.053 0.448 0.936
```

**V**: 127.9 Å³ per cell
**Electronic total energy**: -4.104 eV/atom
**Formation energy without anion corrections**: -699 meV/atom
**Space group**: P4/mmm
**Theoretical density**: 5.596 g/cm3


Compound: PuIrRuO6
Source: Alexandria
Functional: PBE-GGA
Structure: relaxed

```
18
Lattice="5.174 0.000 0.000 -2.587 4.481 0.000 0.000 0.000 9.150" Properties=species:S:1:pos:R:3 pbc="T T T"
O 0.899 1.430 3.443
O 4.275 1.430 1.132
O -1.688 3.051 8.017
O -0.789 1.494 5.707
O 1.798 2.987 1.132
O 1.688 3.051 5.707
O 3.376 2.987 3.443
O 1.688 0.064 1.132
O 0.789 1.494 8.017
O -0.899 4.417 5.707
O 3.486 0.064 3.443
O 0.899 4.417 8.017
Pu 2.587 1.494 6.862
Pu 0.000 2.987 2.287
Ru 0.000 0.000 4.575
Ru 0.000 0.000 0.000
Ir 2.587 1.494 2.287
Ir 0.000 2.987 6.862
```

**V**: 212.1 Å³ per cell
**Electronic total energy**: -8.446 eV/atom
**Formation energy without anion corrections**: -1533 meV/atom
**Space group**: P-31c
**Theoretical density**: 9.915 g/cm3


Compound: CePmErZr
Source: Alexandria
Functional: PBE-GGA
Structure: relaxed

```
4
Lattice="5.462 0.000 0.000 2.731 4.730 0.000 2.731 1.577 4.460" Properties=species:S:1:pos:R:3 pbc="T T T"
Pm 0.000 0.000 0.000
Zr 2.731 1.577 1.115
Er 8.193 4.730 3.345
Ce 5.462 3.154 2.230
```

**V**: 115.2 Å³ per cell
**DFT formation energy**: 0.221 eV per atom
**Electronic total energy**: -5.728 eV/atom
**Space group**: F-43m
**Theoretical density**: 7.834 g/cm3


Compound: ScAl2Co
Source: Alexandria
Functional: PBE-GGA
Structure: relaxed

```
4
Lattice="4.383 -0.051 0.001 0.049 4.383 0.001 -2.215 -2.166 3.101" Properties=species:S:1:pos:R:3 pbc="T T T"
Al 4.382 -0.050 0.001
Al 0.025 2.192 1.552
Sc 2.191 -0.025 1.551
Co 2.217 2.165 0.001
```

**V**: 59.6 Å³ per cell
**DFT formation energy**: -0.369 eV per atom
**Electronic total energy**: -5.600 eV/atom
**Space group**: F-43m
**Theoretical density**: 4.399 g/cm3


Compound: Hf4InRh5
Source: Alexandria
Functional: PBE-GGA
Structure: relaxed

```
10
Lattice="3.281 0.000 0.000 0.000 3.281 0.000 0.000 0.000 16.188" Properties=species:S:1:pos:R:3 pbc="T T T"
Hf 0.000 0.000 3.200
Hf 0.000 0.000 9.712
Hf 0.000 0.000 6.476
Hf 0.000 0.000 12.988
Rh 1.641 1.641 14.471
Rh 1.641 1.641 1.716
Rh 1.641 1.641 8.094
Rh 1.641 1.641 4.834
Rh 1.641 1.641 11.354
In 0.000 0.000 0.000
```

**V**: 174.3 Å³ per cell
**DFT formation energy**: -0.821 eV per atom
**Electronic total energy**: -8.752 eV/atom
**Space group**: P4/mmm
**Theoretical density**: 12.798 g/cm3


Compound: TlH2NF
Source: Alexandria
Functional: PBE-GGA
Structure: relaxed

```
10
Lattice="2.829 0.000 0.000 -1.414 8.713 0.859 0.000 -2.591 4.690" Properties=species:S:1:pos:R:3 pbc="T T T"
H 1.414 4.735 5.302
H 1.414 -1.905 3.941
H 0.000 8.026 1.609
H 0.000 1.386 0.248
N 1.414 8.112 1.287
N 0.000 -1.990 4.263
F 1.414 2.942 1.215
F 0.000 3.179 4.335
Tl 1.414 1.288 3.308
Tl 0.000 4.834 2.241
```

**V**: 121.9 Å³ per cell
**Electronic total energy**: -4.335 eV/atom
**Space group**: C2/m
**Theoretical density**: 6.523 g/cm3


Compound: CrFePd2
Source: Alexandria
Functional: PBE-GGA
Structure: relaxed

```
8
Lattice="6.714 0.000 0.000 0.000 6.714 0.000 3.357 3.357 2.572" Properties=species:S:1:pos:R:3 pbc="T T T"
Pd 5.000 1.678 0.643
Pd 1.713 5.035 0.643
Pd 8.392 8.357 1.929
Pd 5.035 5.070 1.929
Fe 0.000 0.000 0.000
Fe 6.714 3.357 1.286
Cr 3.357 3.357 0.000
Cr 3.357 6.714 1.286
```

**V**: 116.0 Å³ per cell
**DFT formation energy**: 0.792 eV per atom
**Electronic total energy**: -6.326 eV/atom
**Space group**: I-42d
**Theoretical density**: 9.185 g/cm3


Number 1: Fermi-level density of states 3.300 states/eV/f.u.. Number 2: Fermi-level density of states 3.699 states/eV/f.u.. Number 3: Fermi-level density of states 5.722 states/eV/f.u.. Number 4: Fermi-level density of states 8.654 states/eV/f.u.. Number 5: Fermi-level density of states 1.661 states/eV/f.u.. Number 6: Fermi-level density of states 6.206 states/eV/f.u.. Number 7: Fermi-level density of states 0.888 states/eV/f.u.. Number 8: Fermi-level density of states 10.472 states/eV/f.u..